## i
VASP calculation (PBE) on a relaxed structure of TeRuAuN2.

Unit cell a=3.890 b=3.890 c=7.723 alpha=90.00 beta=90.00 gamma=90.00
Space group P4/mmm (No. 123)
Asymmetric unit:
Te  0.000  0.000  0.000 (multiplicity 1)
Ru  0.500  0.500  0.000 (multiplicity 1)
Au  0.000  0.000  0.500 (multiplicity 1)
N  0.000  0.500  0.500 (multiplicity 2)

Summary:
The calculation puts the total moment at 4.385 μB per cell. For the density, the calculation gives 6.4 g/cm³.

---

## ii
VASP calculation (PBE) on a relaxed structure of TeRuAuN2.

Unit cell a=3.844 b=3.844 c=5.888 alpha=90.00 beta=90.00 gamma=90.00
Space group P4/mmm (No. 123)
Asymmetric unit:
Te  0.000  0.000  0.000 (multiplicity 1)
Ru  0.000  0.000  0.500 (multiplicity 1)
Au  0.500  0.500  0.000 (multiplicity 1)
N  0.000  0.500  0.500 (multiplicity 2)

Summary:
The calculation puts the total moment at 0.275 μB per cell. For the density, the calculation gives 8.7 g/cm³.

---

Tell me which of them is the least stable. Sure, it is i.

---

## i
VASP calculation (PBE) on a relaxed structure of Au2SN.

Unit cell a=6.226 b=6.226 c=6.226 alpha=90.00 beta=90.00 gamma=90.00
Space group Fm-3m (No. 225)
Asymmetric unit:
Au  0.250  0.250  0.250 (multiplicity 8)
S  0.000  0.000  0.000 (multiplicity 4)
N  0.000  0.000  0.500 (multiplicity 4)

Summary:
The calculation puts the total moment at 4.995 μB per cell. For the density, the calculation gives 12.1 g/cm³.

---

## ii
VASP calculation (PBE) on a relaxed structure of Au2SN.

Unit cell a=3.689 b=4.470 c=5.220 alpha=79.40 beta=83.84 gamma=81.57
Space group P1 (No. 1)
Asymmetric unit:
Au  0.000  0.000  0.000 (multiplicity 1)
Au  0.498  0.542  0.468 (multiplicity 1)
S  0.002  0.162  0.557 (multiplicity 1)
N  0.011  0.864  0.402 (multiplicity 1)

Summary:
The calculation puts the total moment at 0.000 μB per cell. For the density, the calculation gives 8.8 g/cm³.

---

## iii
VASP calculation (PBE) on a relaxed structure of Au2SN.

Unit cell a=9.694 b=3.461 c=5.489 alpha=90.00 beta=107.80 gamma=90.00
Space group Cm (No. 8)
Asymmetric unit:
Au  0.000  0.000  0.000 (multiplicity 2)
Au  0.132  0.500  0.367 (multiplicity 2)
S  0.402  0.000  0.686 (multiplicity 2)
N  0.229  0.000  0.601 (multiplicity 2)

Summary:
The calculation puts the total moment at 0.000 μB per cell. For the density, the calculation gives 8.3 g/cm³.

---

## iv
VASP calculation (PBE) on a relaxed structure of Au2SN.

Unit cell a=5.854 b=7.412 c=4.391 alpha=90.00 beta=122.07 gamma=90.00
Space group Cm (No. 8)
Asymmetric unit:
Au  0.000  0.239  0.000 (multiplicity 4)
S  0.091  0.500  0.331 (multiplicity 2)
N  0.383  0.500  0.713 (multiplicity 2)

Summary:
The calculation puts the total moment at 1.403 μB per cell. For the density, the calculation gives 9.1 g/cm³.

---

Tell me which of them is the least stable. Sure, it is i.

---

## i
VASP calculation (PBE) on a relaxed structure of Au2SN.

Unit cell a=7.304 b=7.412 c=3.500 alpha=90.00 beta=110.59 gamma=90.00
Space group Cm (No. 8)
Asymmetric unit:
Au  0.000  0.239  0.000 (multiplicity 4)
S  0.325  0.000  0.874 (multiplicity 2)
N  0.156  0.000  0.085 (multiplicity 2)

Summary:
The calculation puts the total moment at 0.000 μB per cell. For the density, the calculation gives 8.2 g/cm³.

---

## ii
VASP calculation (PBE) on a relaxed structure of Au2SN.

Unit cell a=3.169 b=4.149 c=5.963 alpha=108.93 beta=95.04 gamma=106.62
Space group P1 (No. 1)
Asymmetric unit:
Au  0.000  0.000  0.000 (multiplicity 1)
Au  0.210  0.387  0.704 (multiplicity 1)
S  0.949  0.807  0.354 (multiplicity 1)
N  0.215  0.549  0.358 (multiplicity 1)

Summary:
The calculation puts the total moment at 0.000 μB per cell. For the density, the calculation gives 10.5 g/cm³.

---

## iii
VASP calculation (PBE) on a relaxed structure of Au2SN.

Unit cell a=3.290 b=5.224 c=5.225 alpha=84.43 beta=89.90 gamma=89.76
Space group P1 (No. 1)
Asymmetric unit:
Au  0.000  0.000  0.000 (multiplicity 1)
Au  0.000  0.469  0.469 (multiplicity 1)
S  0.000  0.596  0.873 (multiplicity 1)
N  0.000  0.365  0.104 (multiplicity 1)

Summary:
The calculation puts the total moment at 0.000 μB per cell. For the density, the calculation gives 8.2 g/cm³.

---

## iv
VASP calculation (PBE) on a relaxed structure of Au2SN.

Unit cell a=12.014 b=2.856 c=4.287 alpha=90.00 beta=104.50 gamma=90.00
Space group Cm (No. 8)
Asymmetric unit:
Au  0.000  0.000  0.000 (multiplicity 2)
Au  0.122  0.500  0.610 (multiplicity 2)
S  0.305  0.500  0.133 (multiplicity 2)
N  0.294  0.500  0.475 (multiplicity 2)

Summary:
The calculation puts the total moment at 0.000 μB per cell. For the density, the calculation gives 10.3 g/cm³.

---

Tell me which of them is the least stable. Sure, it is ii.